A plane-wave DFT calculation with PBE was carried out for ReNi3Pb after structural relaxation.

The structure belongs to space group Pm-3m (No. 221); the cell edges are 4.589, 4.589 and 4.589 Å and the angles 90.00°, 90.00° and 90.00°. The inequivalent atoms are Re at (0.000, 0.000, 0.000), Ni at (0.000, 0.000, 0.500) and Pb at (0.500, 0.500, 0.500).

The total energy is -28.1 eV per cell. The value obtained for the spin magnetization is 0.00 μB/f.u. As for the distance to the lowest polymorph of the same formula: 0 meV per atom. For the formation energy, the calculation gives 1072.5 meV/atom.